[1]
A plane-wave DFT calculation with GGA-PBEsol was carried out for a relaxed structure of KCu4P3.

Unit cell a=4.027 b=4.027 c=7.286 alpha=90.00 beta=90.00 gamma=90.00
Atoms (fractional coordinates):
Cu1 0.500 0.000 0.175
Cu2 0.000 0.500 0.175
Cu3 0.500 0.000 0.825
Cu4 0.000 0.500 0.825
K1 0.000 0.000 0.500
P1 0.000 0.000 0.000
P2 0.500 0.500 0.346
P3 0.500 0.500 0.654

Calculated values
energy = -4.652 eV per atom
DFT formation energy = -0.17 eV/atom

=====

[2]
A plane-wave DFT calculation with GGA-PBEsol was carried out for a relaxed structure of Ca2LaPN.

Unit cell a=4.086 b=5.795 c=5.795 alpha=90.00 beta=90.00 gamma=90.00
Atoms (fractional coordinates):
P1 0.500 0.500 0.500
Ca1 0.000 0.000 0.500
Ca2 0.000 0.500 0.000
N1 0.500 0.000 0.000
La1 0.000 0.000 0.000

Calculated values
energy = -4.242 eV per atom
ΔE_f (raw) = 544.0 meV/atom

=====

[3]
A plane-wave DFT calculation with GGA-PBEsol was carried out for a relaxed structure of LiMnSbO4.

Unit cell a=6.135 b=6.135 c=8.579 alpha=90.00 beta=90.00 gamma=90.00
Atoms (fractional coordinates):
Li1 0.500 0.711 0.000
Li2 0.500 0.289 0.500
Li3 0.711 0.500 0.250
Li4 0.289 0.500 0.750
Mn1 0.747 0.253 0.875
Mn2 0.253 0.747 0.375
Mn3 0.747 0.747 0.625
Mn4 0.253 0.253 0.125
Sb1 0.732 0.000 0.250
Sb2 0.000 0.732 0.000
Sb3 0.000 0.268 0.500
Sb4 0.268 0.000 0.750
O1 0.524 0.762 0.250
O2 0.524 0.238 0.250
O3 0.762 0.524 0.000
O4 0.762 0.476 0.500
O5 0.238 0.524 0.000
O6 0.238 0.476 0.500
O7 0.476 0.762 0.750
O8 0.476 0.238 0.750
O9 0.770 0.980 0.015
O10 0.770 0.020 0.485
O11 0.980 0.770 0.235
O12 0.980 0.230 0.265
O13 0.020 0.770 0.765
O14 0.020 0.230 0.735
O15 0.230 0.020 0.515
O16 0.230 0.980 0.985

Calculated values
energy = -6.912 eV per atom
ΔE_f (raw) = -1586.3 meV/atom
energy above the most stable polymorph in this dataset = 0.000 eV/atom

=====

[4]
A plane-wave DFT calculation with GGA-PBEsol was carried out for a relaxed structure of Sr3ScF.

Unit cell a=6.305 b=6.305 c=6.305 alpha=90.00 beta=90.00 gamma=90.00
Atoms (fractional coordinates):
Sc1 0.000 0.000 0.000
Sr1 0.000 0.500 0.000
Sr2 0.000 0.000 0.500
Sr3 0.500 0.000 0.000
F1 0.500 0.500 0.500

Calculated values
energy = -2.530 eV per atom
ΔE_f (raw) = 280.6 meV/atom

=====

[5]
A plane-wave DFT calculation with GGA-PBEsol was carried out for a relaxed structure of CoAgSe.

Unit cell a=4.174 b=4.174 c=4.174 alpha=60.00 beta=60.00 gamma=60.00
Atoms (fractional coordinates):
Ag1 0.000 0.000 0.000
Co1 0.500 0.500 0.500
Se1 0.750 0.750 0.750

Calculated values
energy = -4.568 eV per atom
ΔE_f (raw) = 397.8 meV/atom
energy above the most stable polymorph in this dataset = 0.294 eV/atom

=====

[6]
A plane-wave DFT calculation with GGA-PBEsol was carried out for a relaxed structure of ZrHg2Sb.

Unit cell a=3.178 b=5.231 c=6.152 alpha=115.08 beta=104.97 gamma=90.00
Atoms (fractional coordinates):
Hg1 0.258 0.257 0.515
Hg2 0.742 0.743 0.485
Sb1 0.500 0.000 0.000
Zr1 0.000 0.500 0.000

Calculated values
energy = -3.871 eV per atom
ΔE_f (raw) = -176.2 meV/atom

=====

[7]
A plane-wave DFT calculation with GGA-PBEsol was carried out for a relaxed structure of K3OsPd.

Unit cell a=5.873 b=5.873 c=5.873 alpha=90.00 beta=90.00 gamma=90.00
Atoms (fractional coordinates):
K1 0.000 0.500 0.000
K2 0.000 0.000 0.500
K3 0.500 0.000 0.000
Os1 0.500 0.500 0.500
Pd1 0.000 0.000 0.000

Calculated values
energy = -2.778 eV per atom
DFT formation energy = 1.54 eV/atom

=====

[8]
A plane-wave DFT calculation with GGA-PBEsol was carried out for a relaxed structure of Mn4Si.

Unit cell a=4.595 b=4.595 c=4.595 alpha=109.47 beta=109.47 gamma=109.47
Atoms (fractional coordinates):
Mn1 0.000 0.000 0.500
Mn2 0.000 0.500 0.000
Mn3 0.500 0.000 0.000
Mn4 0.500 0.500 0.500
Si1 0.000 0.000 0.000

Calculated values
energy = -8.080 eV per atom
ΔE_f (raw) = 878.5 meV/atom

=====

[9]
A plane-wave DFT calculation with GGA-PBEsol was carried out for a relaxed structure of Bi2Mo2Se2O13.

Unit cell a=6.536 b=6.877 c=11.647 alpha=89.95 beta=82.54 gamma=86.59
Atoms (fractional coordinates):
Bi1 0.205 0.871 0.888
Bi2 0.795 0.129 0.112
Bi3 0.633 0.609 0.645
Bi4 0.367 0.391 0.355
Mo1 0.746 0.107 0.811
Mo2 0.254 0.893 0.189
Mo3 0.120 0.353 0.698
Mo4 0.880 0.647 0.302
Se1 0.175 0.792 0.568
Se2 0.825 0.208 0.432
Se3 0.238 0.415 0.061
Se4 0.762 0.585 0.939
O1 0.374 0.656 0.491
O2 0.626 0.344 0.509
O3 0.019 0.599 0.620
O4 0.981 0.401 0.380
O5 0.308 0.836 0.682
O6 0.692 0.164 0.318
O7 0.409 0.344 0.155
O8 0.591 0.656 0.845
O9 0.266 0.667 0.051
O10 0.734 0.333 0.949
O11 0.005 0.579 0.856
O12 0.995 0.421 0.144
O13 0.483 0.096 0.853
O14 0.517 0.904 0.147
O15 0.844 0.957 0.933
O16 0.156 0.043 0.067
O17 0.081 0.160 0.804
O18 0.919 0.840 0.196
O19 0.796 0.939 0.699
O20 0.204 0.061 0.301
O21 0.180 0.230 0.568
O22 0.820 0.770 0.432
O23 0.799 0.334 0.717
O24 0.201 0.666 0.283
O25 0.356 0.442 0.720
O26 0.644 0.558 0.280

Calculated values
energy = -7.147 eV per atom
ΔE_f (raw) = -1460.5 meV/atom

=====

[10]
A plane-wave DFT calculation with GGA-PBEsol was carried out for a relaxed structure of SrMgTl2.

Unit cell a=4.011 b=4.011 c=7.320 alpha=90.00 beta=90.00 gamma=90.01
Atoms (fractional coordinates):
Mg1 0.000 0.000 0.446
Sr1 0.500 0.500 0.760
Tl1 0.000 0.000 0.026
Tl2 0.500 0.500 0.268

Calculated values
energy = -2.389 eV per atom
DFT formation energy = -0.18 eV/atom
energy above the most stable polymorph in this dataset = 0.142 eV/atom

=====

[11]
A plane-wave DFT calculation with GGA-PBEsol was carried out for a relaxed structure of TlCdPb3.

Unit cell a=5.584 b=5.584 c=5.584 alpha=90.00 beta=90.00 gamma=90.00
Atoms (fractional coordinates):
Pb1 0.000 0.500 0.000
Pb2 0.000 0.000 0.500
Pb3 0.500 0.000 0.000
Tl1 0.500 0.500 0.500
Cd1 0.000 0.000 0.000

Calculated values
energy = -2.722 eV per atom
DFT formation energy = 0.44 eV/atom
energy above the most stable polymorph in this dataset = 0.000 eV/atom

=====

[12]
A plane-wave DFT calculation with GGA-PBEsol was carried out for a relaxed structure of K2CoSi.

Unit cell a=5.005 b=5.005 c=5.005 alpha=60.00 beta=60.00 gamma=60.00
Atoms (fractional coordinates):
Co1 0.500 0.500 0.500
K1 0.000 0.000 0.000
K2 0.750 0.750 0.750
Si1 0.250 0.250 0.250

Calculated values
energy = -3.051 eV per atom
ΔE_f (raw) = 886.6 meV/atom